[1]
{"formula": "HfSc2Rh", "functional": "PBE", "state": "optimized geometry", "lattice": [[3.3656, 0.0000, 0.0000], [0.0000, 11.2119, 0.0000], [0.0000, 0.0000, 8.8044]], "species": ["Hf", "Hf", "Hf", "Hf", "Sc", "Sc", "Sc", "Sc", "Sc", "Sc", "Sc", "Sc", "Rh", "Rh", "Rh", "Rh"], "frac_coords": [[0.0000, 0.0632, 0.2500], [0.0000, 0.9368, 0.7500], [0.5000, 0.4368, 0.7500], [0.5000, 0.5632, 0.2500], [0.0000, 0.3683, 0.0619], [0.0000, 0.3683, 0.4381], [0.0000, 0.6317, 0.5619], [0.0000, 0.6317, 0.9381], [0.5000, 0.1317, 0.5619], [0.5000, 0.1317, 0.9381], [0.5000, 0.8683, 0.0619], [0.5000, 0.8683, 0.4381], [0.0000, 0.2503, 0.7500], [0.0000, 0.7497, 0.2500], [0.5000, 0.2497, 0.2500], [0.5000, 0.7503, 0.7500]], "crystal_system": "orthorhombic", "delta_e_f_mev_per_atom": -475, "e_above_lowest_polymorph_mev_per_atom": 0, "e_tot_ev_per_cell": -127.47}

[2]
{"formula": "HfScRh3", "functional": "PBE", "state": "optimized geometry", "lattice": [[4.7368, 0.0000, 0.0000], [0.0000, 4.7368, 0.0000], [0.0000, 0.0000, 4.7368]], "species": ["Hf", "Sc", "Rh", "Rh", "Rh"], "frac_coords": [[0.0000, 0.0000, 0.0000], [0.5000, 0.5000, 0.5000], [0.0000, 0.0000, 0.5000], [0.0000, 0.5000, 0.0000], [0.5000, 0.0000, 0.0000]], "crystal_system": "cubic", "delta_e_f_mev_per_atom": 192, "e_above_lowest_polymorph_mev_per_atom": 0, "e_tot_ev_per_cell": -37.38}